No. 1
{"formula": "Li2Dy2RuO6", "functional": "GGA-PBE", "state": "relaxed", "mass_density_g_cm3": 6.2, "dft_energy_ev_per_atom": -7.028, "m_tot_mub_per_atom": 0.182, "formation_energy_uncorrected_ev_per_atom": -2.296, "lattice": [[2.824, -5.015, 0.000], [2.824, 5.015, 0.000], [-1.152, 0.000, 5.054]], "species": ["Li", "Li", "Dy", "Dy", "Ru", "O", "O", "O", "O", "O", "O"], "frac_coords": [[0.121, 0.879, 0.000], [0.879, 0.121, 0.000], [0.338, 0.662, 0.500], [0.662, 0.338, 0.500], [0.000, 0.000, 0.500], [0.030, 0.342, 0.714], [0.250, 0.250, 0.267], [0.342, 0.030, 0.714], [0.658, 0.970, 0.286], [0.750, 0.750, 0.733], [0.970, 0.658, 0.286]]}



No. 2
{"formula": "MgZnGa2", "functional": "GGA-PBE", "state": "relaxed", "mass_density_g_cm3": 5.3, "dft_energy_ev_per_atom": -2.318, "m_tot_mub_per_atom": 0.000, "formation_enthalpy_0k_ev_per_atom": -0.087, "lattice": [[6.583, 0.000, 0.000], [0.000, 4.345, 0.000], [0.000, 0.000, 10.049]], "species": ["Mg", "Mg", "Mg", "Mg", "Zn", "Zn", "Zn", "Zn", "Ga", "Ga", "Ga", "Ga", "Ga", "Ga", "Ga", "Ga"], "frac_coords": [[0.250, 0.250, 0.175], [0.250, 0.750, 0.675], [0.750, 0.250, 0.325], [0.750, 0.750, 0.825], [0.053, 0.250, 0.917], [0.447, 0.750, 0.417], [0.553, 0.250, 0.583], [0.947, 0.750, 0.083], [0.058, 0.750, 0.329], [0.190, 0.250, 0.465], [0.310, 0.750, 0.965], [0.442, 0.250, 0.829], [0.558, 0.750, 0.171], [0.690, 0.250, 0.035], [0.810, 0.750, 0.535], [0.942, 0.250, 0.671]]}



No. 3
{"formula": "Ta2TiP", "functional": "GGA-PBE", "state": "relaxed", "mass_density_g_cm3": 10.0, "dft_energy_ev_per_atom": -9.261, "m_tot_mub_per_atom": 0.000, "formation_enthalpy_0k_ev_per_atom": -0.009, "lattice": [[-3.865, 3.865, 2.460], [3.865, -3.865, 2.460], [3.865, 3.865, -2.460]], "species": ["Ta", "Ta", "Ta", "Ta", "Ti", "Ti", "P", "P"], "frac_coords": [[0.048, 0.625, 0.923], [0.375, 0.298, 0.423], [0.702, 0.125, 0.077], [0.875, 0.952, 0.577], [0.250, 0.750, 0.500], [0.500, 0.500, 0.000], [0.000, 0.000, 0.000], [0.750, 0.250, 0.500]]}



No. 4
{"formula": "Pm6Ir2Se3Cl", "functional": "GGA-PBE", "state": "relaxed", "mass_density_g_cm3": 8.0, "dft_energy_ev_per_atom": -6.271, "m_tot_mub_per_atom": 0.000, "formation_energy_uncorrected_ev_per_atom": -1.394, "lattice": [[9.282, -2.047, 0.000], [9.282, 2.047, 0.000], [-2.270, 0.000, 8.336]], "species": ["Pm", "Pm", "Pm", "Pm", "Pm", "Pm", "Ir", "Ir", "Se", "Se", "Se", "Cl"], "frac_coords": [[0.012, 0.012, 0.269], [0.325, 0.325, 0.882], [0.330, 0.330, 0.425], [0.670, 0.670, 0.575], [0.675, 0.675, 0.118], [0.988, 0.988, 0.731], [0.168, 0.168, 0.339], [0.832, 0.832, 0.661], [0.157, 0.157, 0.844], [0.500, 0.500, 0.500], [0.843, 0.843, 0.156], [0.500, 0.500, 0.000]]}



No. 5
{"formula": "TiSi2SbOs", "functional": "GGA-PBE", "state": "relaxed", "mass_density_g_cm3": 6.2, "dft_energy_ev_per_atom": -5.399, "m_tot_mub_per_atom": 0.577, "formation_energy_uncorrected_ev_per_atom": 1.420, "lattice": [[4.656, 0.000, 0.000], [0.000, 4.656, 0.000], [0.000, 0.000, 5.118]], "species": ["Ti", "Si", "Si", "Sb", "Os"], "frac_coords": [[0.000, 0.000, 0.000], [0.000, 0.500, 0.000], [0.500, 0.000, 0.000], [0.000, 0.000, 0.500], [0.500, 0.500, 0.500]]}



No. 6
{"formula": "Ac4HgRu2", "functional": "GGA-PBE", "state": "relaxed", "mass_density_g_cm3": 9.2, "dft_energy_ev_per_atom": -5.214, "relative_energy_kj_per_mol_fu": 46.7, "m_tot_mub_per_atom": 0.000, "formation_enthalpy_0k_ev_per_atom": -0.173, "lattice": [[7.757, 0.000, 0.000], [-0.703, 7.855, 0.000], [-2.333, -2.420, 7.747]], "species": ["Ac", "Ac", "Ac", "Ac", "Ac", "Ac", "Ac", "Ac", "Hg", "Hg", "Ru", "Ru", "Ru", "Ru"], "frac_coords": [[0.000, 0.000, 0.000], [0.002, 0.004, 0.487], [0.035, 0.442, 0.858], [0.041, 0.477, 0.366], [0.451, 0.869, 0.806], [0.454, 0.875, 0.335], [0.497, 0.338, 0.198], [0.503, 0.333, 0.706], [0.739, 0.674, 0.093], [0.787, 0.680, 0.612], [0.240, 0.186, 0.346], [0.244, 0.164, 0.849], [0.407, 0.590, 0.485], [0.770, 0.068, 0.698]]}



No. 7
{"formula": "TiMn2Ni9", "functional": "GGA-PBE", "state": "relaxed", "mass_density_g_cm3": 8.3, "dft_energy_ev_per_atom": -6.742, "m_tot_mub_per_atom": 0.769, "formation_enthalpy_0k_ev_per_atom": -0.220, "lattice": [[3.583, 0.000, 0.000], [0.000, 3.583, 0.000], [0.000, 0.000, 10.733]], "species": ["Ti", "Mn", "Mn", "Ni", "Ni", "Ni", "Ni", "Ni", "Ni", "Ni", "Ni", "Ni"], "frac_coords": [[0.000, 0.000, 0.000], [0.000, 0.000, 0.336], [0.000, 0.000, 0.664], [0.000, 0.500, 0.168], [0.000, 0.500, 0.500], [0.000, 0.500, 0.832], [0.500, 0.000, 0.168], [0.500, 0.000, 0.500], [0.500, 0.000, 0.832], [0.500, 0.500, 0.000], [0.500, 0.500, 0.333], [0.500, 0.500, 0.667]]}



No. 8
{"formula": "YRePd2", "functional": "GGA-PBE", "state": "relaxed", "mass_density_g_cm3": 10.3, "dft_energy_ev_per_atom": -6.975, "relative_energy_kj_per_mol_fu": 112.3, "m_tot_mub_per_atom": 0.141, "formation_enthalpy_0k_ev_per_atom": 0.349, "lattice": [[-2.074, 2.074, 9.191], [2.074, -2.074, 9.191], [2.074, 2.074, -9.191]], "species": ["Y", "Y", "Re", "Re", "Pd", "Pd", "Pd", "Pd"], "frac_coords": [[0.000, 0.000, 0.000], [0.750, 0.250, 0.500], [0.250, 0.750, 0.500], [0.500, 0.500, 0.000], [0.160, 0.625, 0.035], [0.375, 0.410, 0.535], [0.590, 0.125, 0.965], [0.875, 0.840, 0.465]]}



No. 9
{"formula": "Cu2Ir", "functional": "GGA-PBE", "state": "relaxed", "mass_density_g_cm3": 13.7, "dft_energy_ev_per_atom": -5.534, "relative_energy_kj_per_mol_fu": 28.4, "m_tot_mub_per_atom": 0.000, "formation_enthalpy_0k_ev_per_atom": 0.150, "lattice": [[-1.873, 1.873, 11.062], [1.873, -1.873, 11.062], [1.873, 1.873, -11.062]], "species": ["Cu", "Cu", "Cu", "Cu", "Cu", "Cu", "Cu", "Cu", "Ir", "Ir", "Ir", "Ir"], "frac_coords": [[0.044, 0.794, 0.250], [0.124, 0.374, 0.750], [0.206, 0.956, 0.250], [0.374, 0.124, 0.250], [0.626, 0.876, 0.750], [0.794, 0.044, 0.750], [0.876, 0.626, 0.250], [0.956, 0.206, 0.750], [0.292, 0.542, 0.750], [0.458, 0.708, 0.750], [0.542, 0.292, 0.250], [0.708, 0.458, 0.250]]}